Density functional theory data (PBE) for crystalline DyEr3Sb3 at its relaxed geometry.

Calculated values
Formation energy from raw total energies: -589 kJ/mol of formula units
Calculated volume: 29.88 A^3/atom
SG: No. 148

Cell: 8.900 8.900 7.974 Å, 56.08 56.08 60.00°
Sites, in units of the cell vectors:
Dy 0.334 0.334 0.998
Dy 0.666 0.666 0.002
Er 0.178 0.657 0.251
Er 0.914 0.178 0.251
Er 0.657 0.914 0.251
Er 0.343 0.086 0.749
Er 0.086 0.822 0.749
Er 0.822 0.343 0.749
Sb 0.471 0.698 0.752
Sb 0.698 0.079 0.752
Sb 0.079 0.471 0.752
Sb 0.921 0.529 0.248
Sb 0.302 0.921 0.248
Sb 0.529 0.302 0.248



Density functional theory data (PBE) for crystalline Dy5Er2Sb5 at its relaxed geometry.

Calculated values
Formation energy from raw total energies: -969 kJ/mol of formula units
Calculated volume: 30.14 A^3/atom
SG: No. 12

Cell: 4.340 7.426 12.507 Å, 109.29 90.00 106.99°
Sites, in units of the cell vectors:
Dy 0.500 0.000 0.500
Dy 0.660 0.321 0.035
Dy 0.721 0.442 0.343
Dy 0.279 0.558 0.657
Dy 0.340 0.679 0.965
Er 0.047 0.094 0.787
Er 0.953 0.906 0.213
Sb 0.118 0.236 0.431
Sb 0.696 0.391 0.789
Sb 0.304 0.609 0.211
Sb 0.882 0.764 0.569
Sb 0.000 0.000 0.000



Density functional theory data (PBE) for crystalline Dy3ErSb2 at its relaxed geometry.

Calculated values
Formation energy from raw total energies: -460 kJ/mol of formula units
Calculated volume: 28.03 A^3/atom
SG: No. 115

Cell: 4.461 4.461 8.451 Å, 90.00 90.00 90.00°
Sites, in units of the cell vectors:
Dy 0.500 0.000 0.350
Dy 0.000 0.500 0.650
Dy 0.000 0.000 0.000
Er 0.500 0.500 0.000
Sb 0.500 0.000 0.720
Sb 0.000 0.500 0.280